Density functional theory data (PBE) for Nd4Er2Sc after structural relaxation.

Results
Calculated density   7.05 Mg/m³
DOS at the Fermi energy   1.414 states/eV per atom
Energy of formation   0.033 eV per atom
Raw total energy   -4.900 eV per atom

a b c (Å): 6.1739 24.9675 6.1852
angles (deg): 90.00 109.09 90.00
Space group C2/c (No. 15)
One atom of each set of equivalent atoms:
Nd 0.0000 0.0360 0.2500 (multiplicity 4)
Nd 0.0000 0.2483 0.7500 (multiplicity 4)
Nd 0.0000 0.3223 0.2500 (multiplicity 4)
Nd 0.0000 0.4624 0.2500 (multiplicity 4)
Er 0.0000 0.1767 0.2500 (multiplicity 4)
Er 0.0000 0.3926 0.7500 (multiplicity 4)
Sc 0.0000 0.1076 0.7500 (multiplicity 4)